Record 1
Material: LiSc2Rh
Method: DFT, PBE
State: relaxed

Cell lengths 3.2606, 3.2606, 7.3222 Å; angles 90.00, 90.00, 89.97 degrees
Atoms (fractional coordinates):
Li (0.5000, 0.5000, 0.2500)
Rh (0.5000, 0.5000, 0.7500)
Sc (0.0000, 0.0000, 0.9626)
Sc (0.0000, 0.0000, 0.5374)

Fermi-level density of states = 3.5 states/eV/cell
Total moment = 0.0 μB/f.u.
Space group = P4/mmm, No. 123
Formation energy = -0.447 eV/atom
Theoretical density = 4.26 g cm⁻³

Record 2
Material: PrTmPdAu
Method: DFT, PBE
State: relaxed

Cell lengths 5.1061, 5.1061, 5.1061 Å; angles 60.00, 60.00, 60.00 degrees
Atoms (fractional coordinates):
Pr (0.2500, 0.2500, 0.2500)
Tm (0.7500, 0.7500, 0.7500)
Au (0.0000, 0.0000, 0.0000)
Pd (0.5000, 0.5000, 0.5000)

Fermi-level density of states = 2.6 states/eV/cell
Total moment = 0.0 μB/f.u.
Space group = F-43m, No. 216
Formation energy = -0.796 eV/atom
Theoretical density = 10.82 g cm⁻³

Record 3
Material: Tm3AlAg4
Method: DFT, PBE
State: relaxed

Cell lengths 3.3540, 9.1778, 7.6997 Å; angles 126.58, 102.58, 90.00 degrees
Atoms (fractional coordinates):
Tm (0.2144, 0.2144, 0.4289)
Tm (0.7856, 0.7856, 0.5711)
Tm (0.0000, 0.5000, 0.0000)
Al (0.5000, 0.0000, 0.0000)
Ag (0.3762, 0.1338, 0.7523)
Ag (0.6238, 0.8662, 0.2477)
Ag (0.6238, 0.3815, 0.2477)
Ag (0.3762, 0.6185, 0.7523)

Fermi-level density of states = 3.9 states/eV/cell
Total moment = 0.0 μB/f.u.
Space group = Immm, No. 71
Formation energy = -0.127 eV/atom
Theoretical density = 8.75 g cm⁻³

Record 4
Material: Pm2SmTl
Method: DFT, PBE
State: relaxed

Cell lengths 3.7330, 3.7330, 11.1562 Å; angles 80.37, 80.37, 60.00 degrees
Atoms (fractional coordinates):
Pm (0.0776, 0.0776, 0.7672)
Pm (0.2559, 0.2559, 0.2324)
Sm (0.5000, 0.5000, 0.5000)
Tl (0.6665, 0.6665, 0.0004)

Fermi-level density of states = 5.7 states/eV/cell
Total moment = 0.0 μB/f.u.
Space group = R3m, No. 160
Formation energy = -0.100 eV/atom
Theoretical density = 8.10 g cm⁻³